1.
! Y8Mg2In, optimized geometry, DFT PBE-GGA; values from VASP
&SYSTEM
  ibrav = 0, nat = 11, ntyp = 3
/
ATOMIC_SPECIES
Mg 24.30 Mg.upf
Y 88.91 Y.upf
In 114.82 In.upf
ATOMIC_POSITIONS crystal
Mg 0.773 0.384 0.546
Mg 0.227 0.616 0.454
Y 0.594 0.454 0.187
Y 0.863 0.817 0.727
Y 0.318 0.053 0.637
Y 0.935 0.279 0.869
Y 0.065 0.721 0.131
Y 0.137 0.183 0.273
Y 0.682 0.947 0.363
Y 0.406 0.546 0.813
In 0.500 0.000 0.000
CELL_PARAMETERS angstrom
5.105 0.000 -1.648
-1.311 7.447 -4.060
-0.031 -0.103 8.632
! - Symmetry: C2/m, No. 12
! - VASP energy: -59.1 eV for the cell shown
! - Density: 4.5 g/cm³
! - V: 29.587 Å³ per atom

***

2.
! YMgIn, optimized geometry, DFT PBE-GGA; values from VASP
&SYSTEM
  ibrav = 0, nat = 9, ntyp = 3
/
ATOMIC_SPECIES
Y 88.91 Y.upf
Mg 24.30 Mg.upf
In 114.82 In.upf
ATOMIC_POSITIONS crystal
Y 0.565 0.000 0.000
Y 0.000 0.565 0.000
Y 0.435 0.435 0.000
Mg 0.000 0.241 0.500
Mg 0.759 0.759 0.500
Mg 0.241 0.000 0.500
In 0.000 0.000 0.000
In 0.333 0.667 0.500
In 0.667 0.333 0.500
CELL_PARAMETERS angstrom
-0.795 -6.552 3.628
6.844 3.023 -0.859
-0.510 2.306 4.053
! - Symmetry: P-62m, No. 189
! - VASP energy: -36.2 eV for the cell shown
! - Density: 4.9 g/cm³
! - V: 25.600 Å³ per atom

***

3.
! YMgIn, optimized geometry, DFT PBE-GGA; values from VASP
&SYSTEM
  ibrav = 0, nat = 3, ntyp = 3
/
ATOMIC_SPECIES
Mg 24.30 Mg.upf
Y 88.91 Y.upf
In 114.82 In.upf
ATOMIC_POSITIONS crystal
Mg 0.667 0.333 0.167
Y 0.333 0.667 0.667
In 0.000 0.000 0.166
CELL_PARAMETERS angstrom
4.947 0.000 0.000
-2.474 4.285 0.000
0.000 0.000 3.610
! - Symmetry: P-6m2, No. 187
! - VASP energy: -11.9 eV for the cell shown
! - Density: 4.9 g/cm³
! - V: 25.505 Å³ per atom

***

4.
! Y4Mg3In, optimized geometry, DFT PBE-GGA; values from VASP
&SYSTEM
  ibrav = 0, nat = 8, ntyp = 3
/
ATOMIC_SPECIES
Mg 24.30 Mg.upf
Y 88.91 Y.upf
In 114.82 In.upf
ATOMIC_POSITIONS crystal
Mg 0.247 0.247 0.258
Mg 0.500 0.500 0.500
Mg 0.753 0.753 0.742
Y 0.125 0.125 0.626
Y 0.875 0.875 0.374
Y 0.625 0.625 0.124
Y 0.375 0.375 0.876
In 0.000 0.000 0.000
CELL_PARAMETERS angstrom
-4.034 3.515 0.045
-3.599 -0.008 -3.960
-7.459 -4.529 3.173
! - Symmetry: R-3m, No. 166
! - VASP energy: -35.3 eV for the cell shown
! - Density: 4.2 g/cm³
! - V: 27.139 Å³ per atom

***

5.
! Y5MgIn4, optimized geometry, DFT PBE-GGA; values from VASP
&SYSTEM
  ibrav = 0, nat = 10, ntyp = 3
/
ATOMIC_SPECIES
Y 88.91 Y.upf
In 114.82 In.upf
Mg 24.30 Mg.upf
ATOMIC_POSITIONS crystal
Y 0.500 0.500 0.500
Y 0.500 0.500 0.701
Y 0.500 0.500 0.901
Y 0.500 0.500 0.099
Y 0.500 0.500 0.299
In 0.000 0.000 0.197
In 0.000 0.000 0.400
In 0.000 0.000 0.803
In 0.000 0.000 0.600
Mg 0.000 0.000 0.000
CELL_PARAMETERS angstrom
3.771 0.000 0.000
0.000 3.771 0.000
0.000 0.000 18.810
! - Symmetry: P4/mmm, No. 123
! - VASP energy: -49.2 eV for the cell shown
! - Density: 5.8 g/cm³
! - V: 26.754 Å³ per atom

***

6.
! YMgIn2, optimized geometry, DFT PBE-GGA; values from VASP
&SYSTEM
  ibrav = 0, nat = 4, ntyp = 3
/
ATOMIC_SPECIES
In 114.82 In.upf
Mg 24.30 Mg.upf
Y 88.91 Y.upf
ATOMIC_POSITIONS crystal
In 0.007 0.007 0.974
In 0.493 0.493 0.526
Mg 0.750 0.750 0.750
Y 0.250 0.250 0.250
CELL_PARAMETERS angstrom
-0.201 5.153 0.995
0.381 3.307 4.062
5.778 1.511 -0.187
! - Symmetry: C2/m, No. 12
! - VASP energy: -14.5 eV for the cell shown
! - Density: 5.5 g/cm³
! - V: 26.053 Å³ per atom

***

7.
! YMgZn2In, optimized geometry, DFT PBE-GGA; values from VASP
&SYSTEM
  ibrav = 0, nat = 5, ntyp = 4
/
ATOMIC_SPECIES
Y 88.91 Y.upf
Mg 24.30 Mg.upf
In 114.82 In.upf
Zn 65.41 Zn.upf
ATOMIC_POSITIONS crystal
Y 0.500 0.500 0.500
Mg 0.000 0.000 0.000
In 0.000 0.500 0.000
Zn 0.000 0.000 0.500
Zn 0.500 0.000 0.000
CELL_PARAMETERS angstrom
5.210 0.000 0.000
0.000 5.585 0.000
0.000 0.000 5.210
! - Symmetry: P4/mmm, No. 123
! - VASP energy: -11.6 eV for the cell shown
! - Density: 3.9 g/cm³
! - V: 30.326 Å³ per atom

***

8.
! Yb2MgIn, optimized geometry, DFT PBE-GGA; values from VASP
&SYSTEM
  ibrav = 0, nat = 4, ntyp = 3
/
ATOMIC_SPECIES
Yb 173.04 Yb.upf
Mg 24.30 Mg.upf
In 114.82 In.upf
ATOMIC_POSITIONS crystal
Yb 0.250 0.250 0.250
Yb 0.750 0.750 0.750
Mg 0.000 0.000 0.000
In 0.500 0.500 0.500
CELL_PARAMETERS angstrom
5.404 0.000 0.000
2.702 4.680 0.000
2.702 1.560 4.413
! - Symmetry: Fm-3m, No. 225
! - VASP energy: -8.8 eV for the cell shown
! - Density: 7.2 g/cm³
! - V: 27.902 Å³ per atom

***

9.
! Mg8Zn2In, optimized geometry, DFT PBE-GGA; values from VASP
&SYSTEM
  ibrav = 0, nat = 11, ntyp = 3
/
ATOMIC_SPECIES
Mg 24.30 Mg.upf
Zn 65.41 Zn.upf
In 114.82 In.upf
ATOMIC_POSITIONS crystal
Mg 0.662 0.445 0.324
Mg 0.844 0.844 0.688
Mg 0.338 0.121 0.676
Mg 0.000 0.301 0.000
Mg 0.662 0.879 0.324
Mg 0.156 0.156 0.312
Mg 0.000 0.699 0.000
Mg 0.338 0.555 0.676
Zn 0.187 0.687 0.373
Zn 0.813 0.313 0.627
In 0.500 0.000 0.000
CELL_PARAMETERS angstrom
-0.473 -3.578 -2.795
4.497 -4.009 4.370
-7.484 1.652 2.880
! - Energy relative to the lowest polymorph listed for this composition: 0.000 eV/atom
! - Symmetry: Immm, No. 71
! - Density: 3.1 g/cm³
! - V: 21.392 Å³ per atom

***

10.
! Mg7ZnIn2, optimized geometry, DFT PBE-GGA; values from VASP
&SYSTEM
  ibrav = 0, nat = 10, ntyp = 3
/
ATOMIC_SPECIES
Mg 24.30 Mg.upf
In 114.82 In.upf
Zn 65.41 Zn.upf
ATOMIC_POSITIONS crystal
Mg 0.500 0.500 0.500
Mg 0.760 0.240 0.240
Mg 0.760 0.240 0.760
Mg 0.240 0.240 0.760
Mg 0.240 0.760 0.760
Mg 0.240 0.760 0.240
Mg 0.760 0.760 0.240
In 0.250 0.250 0.250
In 0.750 0.750 0.750
Zn 0.000 0.000 0.000
CELL_PARAMETERS angstrom
7.342 0.000 0.000
3.671 6.358 0.000
3.671 2.119 5.994
! - Symmetry: Fm-3m, No. 225
! - VASP energy: -14.8 eV for the cell shown
! - Density: 2.8 g/cm³
! - V: 27.981 Å³ per atom